No. 1
Material: AcNdGaCu
Method: DFT, PBE
State: optimized geometry

a = 5.3339 Å, b = 5.3339 Å, c = 5.3339 Å
α = 60.00°, β = 60.00°, γ = 60.00°
With the nearest neighbours (Å) after each atom.
Element x y z (fractional)
Ac 0.0000 0.0000 0.0000  4 Cu 3.27, 4 Ga 3.27
Nd 0.5000 0.5000 0.5000  4 Cu 3.27, 4 Ga 3.27
Ga 0.7500 0.7500 0.7500  4 Ac 3.27, 4 Nd 3.27
Cu 0.2500 0.2500 0.2500  4 Ac 3.27, 4 Nd 3.27

Summary:
Magnetic moment: 0.00 μB/cell
ΔH_f (0 K): -0.2787 eV per atom
DFT total energy: -4.278 eV/atom


No. 2
Material: AcGa2CuNi4
Method: DFT, PBE
State: optimized geometry

a = 9.0010 Å, b = 9.0010 Å, c = 9.0010 Å
α = 26.11°, β = 26.11°, γ = 26.11°
With the nearest neighbours (Å) after each atom.
Element x y z (fractional)
Ac 0.0000 0.0000 0.0000  8 Ni 3.07-3.43
Ga 0.2301 0.2301 0.2301  7 Ni 2.45-2.57
Ga 0.7699 0.7699 0.7699  7 Ni 2.45-2.57
Cu 0.5000 0.5000 0.5000  8 Ni 2.37-2.52
Ni 0.1316 0.1316 0.1316  4 Ga 2.46-2.57, 3 Cu 2.52
Ni 0.4092 0.4092 0.4092  1 Cu 2.37, 3 Ga 2.45
Ni 0.5908 0.5908 0.5908  1 Cu 2.37, 3 Ga 2.45
Ni 0.8684 0.8684 0.8684  4 Ga 2.46-2.57, 3 Cu 2.52

Summary:
Magnetic moment: 0.00 μB/cell
ΔH_f (0 K): -0.3264 eV per atom
DFT total energy: -4.999 eV/atom